Pu2ScO7 | PBE | relaxed

The structure in POSCAR format:
```
Pu2ScO7
1.0
1.891 1.092 9.837
-1.891 1.092 9.837
0.000 -2.184 9.837
Pu Sc O
2 1 7
Direct
0.070 0.070 0.070 Pu
0.930 0.930 0.930 Pu
0.500 0.500 0.500 Sc
0.000 0.000 0.000 O
0.142 0.142 0.142 O
0.279 0.279 0.279 O
0.427 0.427 0.427 O
0.573 0.573 0.573 O
0.721 0.721 0.721 O
0.858 0.858 0.858 O
```

Computed properties:
**Uncorrected formation energy**: -27.51 eV/f.u.
**VASP energy**: -9.722 eV per atom
**M_tot**: 5.000 Bohr magnetons per cell
**SG**: R-3m, No. 166
**Density of states at the Fermi level**: 8.09 states/eV per cell